one | VASP calculation (PBE-GGA) on a relaxed structure of K3BiAu3.

Cell and atoms, written as CIF:
```
data_K3BiAu3
_chemical_formula_sum 'K6 Bi2 Au6'
_space_group_name_H-M_alt 'P 63/m'
_space_group_IT_number 176
_space_group_name_Hall '-P 6c'
_cell_length_a 9.9809
_cell_length_b 9.9809
_cell_length_c 6.6763
_cell_angle_alpha 90.00
_cell_angle_beta 90.00
_cell_angle_gamma 120.00
loop_
_atom_site_label
_atom_site_type_symbol
_atom_site_fract_x
_atom_site_fract_y
_atom_site_fract_z
K1 K 0.0809 0.6961 0.2500
Bi1 Bi 0.3333 0.6667 0.7500
Au1 Au 0.0736 0.7047 0.7500
```


two | VASP calculation (PBE-GGA) on a relaxed structure of K3BiAu3.

Cell and atoms, written as CIF:
```
data_K3BiAu3
_chemical_formula_sum 'K12 Bi4 Au12'
_space_group_name_H-M_alt 'C m c m'
_space_group_IT_number 63
_space_group_name_Hall '-C 2c 2'
_cell_length_a 4.6385
_cell_length_b 12.2583
_cell_length_c 15.9327
_cell_angle_alpha 90.00
_cell_angle_beta 90.00
_cell_angle_gamma 90.00
loop_
_atom_site_label
_atom_site_type_symbol
_atom_site_fract_x
_atom_site_fract_y
_atom_site_fract_z
K1 K 0.0000 0.0033 0.2500
K2 K 0.0000 0.2883 0.6011
Bi1 Bi 0.0000 0.0000 0.0000
Au1 Au 0.0000 0.3033 0.2500
Au2 Au 0.0000 0.4200 0.0981
```


In terms of stability, two leads; the second structure lies 199 meV per atom higher.